1.
Crystalline CsSr3S at its relaxed geometry, computed with PBE.

Cell lengths 6.4003, 6.4003, 6.4003 Å; angles 90.00, 90.00, 90.00 degrees
Closest atoms and distances in Å follow each position.
Atoms (fractional coordinates):
S  0.5000  0.5000  0.5000  12 Sr 4.53
Sr  0.0000  0.0000  0.5000  2 Cs 3.20
Sr  0.0000  0.5000  0.0000  2 Cs 3.20
Sr  0.5000  0.0000  0.0000  2 Cs 3.20
Cs  0.0000  0.0000  0.0000  6 Sr 3.20

excess energy over the best structure of this formula in the dataset	1547	meV per atom
formation energy (no corrections)	23.0	kcal/mol of atoms
total magnetic moment	3.9	μB/f.u.

2.
Crystalline Ba2CdAu at its relaxed geometry, computed with PBE.

Cell lengths 4.1120, 4.1120, 9.0626 Å; angles 90.00, 90.00, 90.02 degrees
Closest atoms and distances in Å follow each position.
Atoms (fractional coordinates):
Ba  0.0000  0.0000  0.9130  1 Cd 3.30, 4 Au 3.44
Ba  0.5000  0.5000  0.3284  1 Au 3.46, 4 Cd 3.52-3.53
Au  0.5000  0.5000  0.7104  4 Cd 3.26, 5 Ba 3.44-3.46
Cd  0.0000  0.0000  0.5483  4 Au 3.26, 5 Ba 3.30-3.53

E_form	-1.387	eV/f.u.
total magnetic moment	0.0	μB/f.u.

3.
Crystalline YCd4 at its relaxed geometry, computed with PBE.

Cell lengths 8.6086, 8.6086, 8.6086 Å; angles 109.47, 109.47, 109.47 degrees
Closest atoms and distances in Å follow each position.
Atoms (fractional coordinates):
Cd  0.5000  0.7500  0.2500  4 Cd 2.91
Cd  0.0000  0.3475  0.3475  7 Cd 2.82-3.03
Cd  0.2500  0.7500  0.5000  4 Cd 2.91
Cd  0.0000  0.0000  0.2180  6 Cd 2.82-3.06, 1 Y 3.10
Cd  0.6525  0.0000  0.6525  7 Cd 2.82-3.03
Cd  0.7820  0.7820  0.7820  6 Cd 2.82-3.06, 1 Y 3.10
Cd  0.7500  0.5000  0.2500  4 Cd 2.91
Cd  0.0000  0.6525  0.6525  7 Cd 2.82-3.03
Cd  0.5000  0.2500  0.7500  4 Cd 2.91
Cd  0.0000  0.2180  0.0000  6 Cd 2.82-3.06, 1 Y 3.10
Cd  0.3475  0.3475  0.0000  7 Cd 2.82-3.03
Cd  0.2180  0.0000  0.0000  6 Cd 2.82-3.06, 1 Y 3.10
Cd  0.7500  0.2500  0.5000  4 Cd 2.91
Cd  0.3475  0.0000  0.3475  7 Cd 2.82-3.03
Cd  0.2500  0.5000  0.7500  4 Cd 2.91
Cd  0.6525  0.6525  0.0000  7 Cd 2.82-3.03
Y  0.4224  0.4224  0.4224  4 Cd 3.10-3.26
Y  0.5776  0.0000  0.0000  4 Cd 3.10-3.26
Y  0.0000  0.5776  0.0000  4 Cd 3.10-3.26
Y  0.0000  0.0000  0.5776  4 Cd 3.10-3.26

excess energy over the best structure of this formula in the dataset	121	meV per atom
E_form	-0.525	eV/f.u.
total magnetic moment	0.0	μB/f.u.

4.
Crystalline Ac12PmRh7 at its relaxed geometry, computed with PBE.

Cell lengths 9.5137, 9.5137, 9.5137 Å; angles 107.30, 107.30, 107.30 degrees
Closest atoms and distances in Å follow each position.
Atoms (fractional coordinates):
Ac  0.1556  0.3738  0.4507  3 Rh 2.94-3.01
Ac  0.6262  0.5493  0.8444  3 Rh 2.94-3.01
Ac  0.8444  0.6262  0.5493  3 Rh 2.94-3.01
Ac  0.7787  0.9240  0.3114  3 Rh 2.92-2.96
Ac  0.3114  0.7787  0.9240  3 Rh 2.92-2.96
Ac  0.0760  0.6886  0.2213  3 Rh 2.92-2.96
Ac  0.3738  0.4507  0.1556  3 Rh 2.94-3.01
Ac  0.6886  0.2213  0.0760  3 Rh 2.92-2.96
Ac  0.9240  0.3114  0.7787  3 Rh 2.92-2.96
Ac  0.2213  0.0760  0.6886  3 Rh 2.92-2.96
Ac  0.4507  0.1556  0.3738  3 Rh 2.94-3.01
Ac  0.5493  0.8444  0.6262  3 Rh 2.94-3.01
Rh  0.3499  0.1187  0.0283  5 Ac 2.92-3.01, 1 Pm 3.08
Rh  0.8813  0.9717  0.6501  5 Ac 2.92-3.01, 1 Pm 3.08
Rh  0.0283  0.3499  0.1187  5 Ac 2.92-3.01, 1 Pm 3.08
Rh  0.6501  0.8813  0.9717  5 Ac 2.92-3.01, 1 Pm 3.08
Rh  0.1187  0.0283  0.3499  5 Ac 2.92-3.01, 1 Pm 3.08
Rh  0.9717  0.6501  0.8813  5 Ac 2.92-3.01, 1 Pm 3.08
Rh  0.5000  0.5000  0.5000  6 Ac 2.97
Pm  0.0000  0.0000  0.0000  6 Rh 3.08

E_form	-11.068	eV/f.u.
total magnetic moment	0.0	μB/f.u.

5.
Crystalline Na2LiF4 at its relaxed geometry, computed with PBE.

Cell lengths 3.7950, 3.7950, 6.4998 Å; angles 73.03, 73.03, 90.00 degrees
Closest atoms and distances in Å follow each position.
Atoms (fractional coordinates):
Na  0.3641  0.3641  0.2717  5 F 2.25-2.49
Na  0.6359  0.6359  0.7283  5 F 2.25-2.49
F  0.8256  0.8256  0.3489  1 Li 2.07, 1 Na 2.25
F  0.1744  0.1744  0.6511  1 Li 2.07, 1 Na 2.25
F  0.5000  0.0000  0.0000  2 Li 1.90
F  0.0000  0.5000  0.0000  2 Li 1.90
Li  0.0000  0.0000  0.0000  6 F 1.90-2.07

excess energy over the best structure of this formula in the dataset	1	meV per atom
formation energy (no corrections)	-53.7	kcal/mol of atoms
total magnetic moment	1.0	μB/f.u.

6.
Crystalline ScB at its relaxed geometry, computed with PBE.

Cell lengths 5.8789, 7.9268, 9.6469 Å; angles 90.00, 90.00, 90.00 degrees
Closest atoms and distances in Å follow each position.
Atoms (fractional coordinates):
Sc  0.2500  0.9564  0.2500  6 B 2.47-2.67
Sc  0.5000  0.7936  0.5000  6 B 2.47-2.67
Sc  0.7500  0.4564  0.2500  6 B 2.47-2.67
Sc  0.0000  0.7936  0.0000  6 B 2.47-2.67
Sc  0.7500  0.9564  0.7500  6 B 2.47-2.67
Sc  0.0000  0.2936  0.5000  6 B 2.47-2.67
Sc  0.2500  0.5436  0.2500  6 B 2.47-2.67
Sc  0.0000  0.7064  0.5000  6 B 2.47-2.67
Sc  0.5000  0.2936  0.0000  6 B 2.47-2.67
Sc  0.7500  0.5436  0.7500  6 B 2.47-2.67
Sc  0.5000  0.7064  0.0000  6 B 2.47-2.67
Sc  0.5000  0.2064  0.5000  6 B 2.47-2.67
Sc  0.2500  0.0436  0.7500  6 B 2.47-2.67
Sc  0.2500  0.4564  0.7500  6 B 2.47-2.67
Sc  0.7500  0.0436  0.2500  6 B 2.47-2.67
Sc  0.0000  0.2064  0.0000  6 B 2.47-2.67
B  0.1404  0.0000  0.5000  1 B 1.65
B  0.1096  0.7500  0.7500  1 B 1.65
B  0.6404  0.5000  0.5000  1 B 1.65
B  0.3597  0.5000  0.5000  1 B 1.65
B  0.8904  0.7500  0.2500  1 B 1.65
B  0.6096  0.7500  0.2500  1 B 1.65
B  0.3903  0.7500  0.7500  1 B 1.65
B  0.8904  0.2500  0.7500  1 B 1.65
B  0.3597  0.0000  0.0000  1 B 1.65
B  0.8596  0.0000  0.5000  1 B 1.65
B  0.6404  0.0000  0.0000  1 B 1.65
B  0.1404  0.5000  0.0000  1 B 1.65
B  0.6096  0.2500  0.7500  1 B 1.65
B  0.1096  0.2500  0.2500  1 B 1.65
B  0.3903  0.2500  0.2500  1 B 1.65
B  0.8596  0.5000  0.0000  1 B 1.65

E_form	-0.418	eV/f.u.
total magnetic moment	0.0	μB/f.u.

| no. | theoretical density (g/cm³) |
| --- | --- |
| 1 | 2.71 |
| 2 | 6.33 |
| 3 | 7.28 |
| 4 | 8.38 |
| 5 | 2.51 |
| 6 | 3.30 |